A plane-wave DFT calculation with GGA-PBEsol was carried out for NdMgPt after structural relaxation.

Output
- SG = P-62m, No. 189
- formation energy from the elements (eV per formula unit) = -2.564
- E (eV per atom) = -5.471
- crystal system = hexagonal

```
9
Lattice="7.474 0.000 0.000 -3.737 6.473 0.000 0.000 0.000 4.086" Properties=species:S:1:pos:R:3 pbc="T T T"
Nd -1.539 2.665 0.000
Nd 3.077 0.000 0.000
Nd 2.198 3.808 0.000
Mg -2.834 4.908 2.043
Mg 0.903 1.564 2.043
Mg 5.667 0.000 2.043
Pt 0.000 0.000 0.000
Pt 0.000 4.315 2.043
Pt 3.737 2.158 2.043
```

***

A plane-wave DFT calculation with GGA-PBEsol was carried out for NdMgRh after structural relaxation.

Output
- SG = Pnma, No. 62
- formation energy from the elements (eV per formula unit) = -1.632
- E (eV per atom) = -5.551
- crystal system = orthorhombic

```
12
Lattice="7.127 0.000 0.000 0.000 4.143 0.000 0.000 0.000 8.595" Properties=species:S:1:pos:R:3 pbc="T T T"
Nd 0.270 1.036 1.535
Nd 3.293 3.108 5.833
Nd 3.834 1.036 2.763
Nd 6.857 3.108 7.061
Mg 0.959 1.036 4.793
Mg 2.605 3.108 0.495
Mg 4.523 1.036 8.100
Mg 6.168 3.108 3.803
Rh 1.777 3.108 3.204
Rh 1.787 1.036 7.501
Rh 5.341 3.108 1.094
Rh 5.350 1.036 5.392
```

***

A plane-wave DFT calculation with GGA-PBEsol was carried out for Nd2MgSe4 after structural relaxation.

Output
- ΔE to the lowest computed polymorph (meV per atom) = 45
- SG = Pnma, No. 62
- energy relative to the elements, uncorrected (meV per atom) = -1624
- E (eV per atom) = -5.546
- crystal system = orthorhombic

```
28
Lattice="14.266 0.000 0.000 0.000 8.446 0.000 0.000 0.000 6.905" Properties=species:S:1:pos:R:3 pbc="T T T"
Nd 0.000 0.000 0.000
Nd 0.000 4.223 0.000
Nd 3.294 2.112 3.357
Nd 3.839 6.335 6.810
Nd 7.133 0.000 3.453
Nd 7.133 4.223 3.453
Nd 10.427 2.112 0.095
Nd 10.972 6.335 3.548
Mg 1.373 6.335 2.835
Mg 5.760 2.112 6.287
Mg 8.506 6.335 0.618
Mg 12.893 2.112 4.071
Se 0.996 2.112 5.144
Se 1.274 6.335 5.360
Se 2.465 4.333 1.615
Se 2.465 8.337 1.615
Se 4.667 0.109 5.068
Se 4.667 4.114 5.068
Se 5.859 2.112 1.907
Se 6.136 6.335 1.692
Se 8.129 2.112 5.214
Se 8.407 6.335 4.998
Se 9.598 4.333 1.837
Se 9.598 8.337 1.837
Se 11.800 0.109 5.290
Se 11.800 4.114 5.290
Se 12.991 2.112 1.546
Se 13.269 6.335 1.761
```

***

Q: The highest E belongs to which entry?
A: NdMgPt

***

Q: Which of these has the lowest E?
A: NdMgRh